An optimized crystal structure of Nd3Sm4Ho4, computed with PBE-GGA.

Cell lengths 5.745, 6.692, 10.725 Å; angles 90.00, 90.00, 115.42 degrees
Sites, in units of the cell vectors:
Sm: 0.752 0.504 0.788
Ho: 0.556 0.111 0.000
Ho: 0.104 0.208 0.301
Nd: 0.409 0.818 0.292
Sm: 0.886 0.771 0.500
Sm: 0.752 0.504 0.212
Nd: 0.254 0.509 0.000
Nd: 0.409 0.818 0.708
Ho: 0.104 0.208 0.699
Sm: 0.959 0.919 0.000
Ho: 0.614 0.227 0.500

Properties
total magnetization	0.0	μB per cell
energy above the most stable polymorph in this dataset	0.0	meV per atom
E	-4.528	eV per atom
DFT formation energy	0.1533	eV/atom